Compound: V4NO2
Source: Alexandria via LeMat-Bulk
Functional: GGA+U
Structure: relaxed

Geometry as extended XYZ:
```
7
Lattice="4.1919 0.0000 0.0000 0.0000 4.1919 0.0000 2.0960 2.0960 5.1661" Properties=species:S:1:pos:R:3 pbc="T T T"
N 0.0000 0.0000 0.0000
O 4.1919 4.1919 4.0154
O 2.0960 2.0960 1.1507
V 4.1919 4.1919 2.1212
V 2.0960 2.0960 3.0448
V 0.0000 2.0960 0.0000
V 2.0960 0.0000 0.0000
```

Calculated values
Electronic total energy ... -49.6 eV/cell
ρ ... 4569 kg/m3
Space group ... No. 139